Entry 1:
A plane-wave DFT calculation with PBE was carried out for crystalline NdAlCu3 at its relaxed geometry.

abc: 4.5778 6.4887 6.4928
angles: 90.00 90.00 90.00
Atoms (fractional coordinates):
Nd: 0.5000 0.5000 0.5000
Cu: 0.0000 0.2500 0.2500
Cu: 0.5000 0.5000 0.0000
Al: 0.0000 0.5000 0.0000
Cu: 0.5000 0.0000 0.5000
Nd: 0.5000 0.0000 0.0000
Al: 0.0000 0.0000 0.5000
Cu: 0.0000 0.7500 0.2500
Cu: 0.0000 0.2500 0.7500
Cu: 0.0000 0.7500 0.7500

Computed properties:
**Polymorph energy (0 for the lowest one)**: 257.3 meV per atom
**Formation energy**: 5.5 kJ per mole of atoms
**Uncorrected energy**: -4.1023 eV/atom

***

Entry 2:
A plane-wave DFT calculation with PBE was carried out for crystalline K3Ho2BiO6 at its relaxed geometry.

abc: 6.0862 6.0862 6.5913
angles: 98.86 98.86 119.99
Atoms (fractional coordinates):
O: 0.7140 0.7140 0.1900
K: 0.8351 0.1649 0.5000
O: 0.2860 0.2860 0.8100
Ho: 0.6668 0.3332 0.0000
O: 0.0634 0.4128 0.1900
K: 0.1649 0.8351 0.5000
K: 0.5000 0.5000 0.5000
O: 0.4128 0.0634 0.1900
O: 0.9366 0.5872 0.8100
Bi: 0.0000 0.0000 0.0000
O: 0.5872 0.9366 0.8100
Ho: 0.3332 0.6668 0.0000

Computed properties:
**Uncorrected formation energy**: -2308 meV/atom
**Uncorrected energy**: -6.1474 eV/atom

***

Entry 3:
A plane-wave DFT calculation with PBE was carried out for crystalline LaNb3Bi at its relaxed geometry.

abc: 4.9984 4.9984 4.9984
angles: 90.00 90.00 90.00
Atoms (fractional coordinates):
Nb: 0.0000 0.5000 0.0000
Bi: 0.5000 0.5000 0.5000
La: 0.0000 0.0000 0.0000
Nb: 0.5000 0.0000 0.0000
Nb: 0.0000 0.0000 0.5000

Computed properties:
**Polymorph energy (0 for the lowest one)**: 283.0 meV per atom
**Formation energy**: 157.5 kJ per mole of atoms
**Uncorrected energy**: -6.1709 eV/atom